Here is a geometry-optimized AcEr2N structure from Alexandria. Energies are from PBE.

a = 3.503 Å, b = 3.503 Å, c = 10.047 Å
α = 79.96°, β = 79.96°, γ = 60.00°
Element x y z (fractional)
Ac 0.000 0.000 0.000
N 0.500 0.500 0.500
Er 0.123 0.123 0.632
Er 0.877 0.877 0.368

total magnetization = 0.02 μB per atom
space-group type = No. 166
formation energy from raw total energies = -2.641 eV per formula unit
density = 9.14 g cm⁻³
crystal system = trigonal
D(E_F) = 1.25 states/eV per atom
offset from the most stable computed form = 0 meV/atom